The following is a DFT calculation (PBE-GGA) of CdSiO3 after structural relaxation.

Properties
E_form (uncorrected): -2.0009 eV/atom

Cell: 6.3867 4.8237 9.9409 Å, 90.00 119.63 90.00°
Fractional coordinates of all 20 atoms:
Cd: 0.2184 0.2236 0.1435
Cd: 0.2184 0.2764 0.6435
Cd: 0.7816 0.7236 0.3565
Cd: 0.7816 0.7764 0.8565
Si: 0.4086 0.7451 0.4941
Si: 0.4086 0.7549 0.9941
Si: 0.5914 0.2451 0.0059
Si: 0.5914 0.2549 0.5059
O: 0.1666 0.7322 0.5124
O: 0.1666 0.7678 0.0124
O: 0.3509 0.0579 0.8752
O: 0.3509 0.4421 0.3752
O: 0.4683 0.5538 0.8759
O: 0.4683 0.9462 0.3759
O: 0.5317 0.0538 0.6241
O: 0.5317 0.4462 0.1241
O: 0.6491 0.5579 0.6248
O: 0.6491 0.9421 0.1248
O: 0.8334 0.2322 0.9876
O: 0.8334 0.2678 0.4876

The following is a DFT calculation (PBE-GGA) of Sc2BeSe after structural relaxation.

Properties
E_form (uncorrected): -0.6349 eV/atom

Cell: 3.7977 3.7977 5.3753 Å, 90.00 90.00 90.00°
Fractional coordinates of all 4 atoms:
Sc: 0.0000 0.0000 0.0000
Sc: 0.5000 0.5000 0.5000
Be: 0.0000 0.0000 0.5000
Se: 0.5000 0.5000 0.0000

The following is a DFT calculation (PBE-GGA) of PrPaF2 after structural relaxation.

Properties
E_form (uncorrected): -2.1494 eV/atom

Cell: 6.7432 6.7432 6.7432 Å, 34.30 34.30 34.30°
Fractional coordinates of all 4 atoms:
Pr: 0.0000 0.0000 0.0000
Pa: 0.5000 0.5000 0.5000
F: 0.3727 0.3727 0.3727
F: 0.6273 0.6273 0.6273

The following is a DFT calculation (PBE-GGA) of LuVC2 after structural relaxation.

Properties
Formation energy from the elements: -0.297 eV per atom

Cell: 5.6093 5.6093 5.6093 Å, 32.67 32.67 32.67°
Fractional coordinates of all 4 atoms:
Lu: 0.0000 0.0000 0.0000
V: 0.5000 0.5000 0.5000
C: 0.2374 0.2374 0.2374
C: 0.7626 0.7626 0.7626

The following is a DFT calculation (PBE-GGA) of Pm6Co2OsCl3 after structural relaxation.

Properties
E_form (uncorrected): -0.8111 eV/atom

Cell: 9.6787 9.6787 8.8545 Å, 111.36 111.36 23.56°
Fractional coordinates of all 12 atoms:
Pm: 0.0113 0.0113 0.2312
Pm: 0.3217 0.3217 0.4422
Pm: 0.3422 0.3422 0.8862
Pm: 0.6578 0.6578 0.1138
Pm: 0.6783 0.6783 0.5578
Pm: 0.9887 0.9887 0.7688
Co: 0.1695 0.1695 0.3396
Co: 0.8305 0.8305 0.6604
Os: 0.5000 0.5000 0.0000
Cl: 0.1664 0.1664 0.8335
Cl: 0.5000 0.5000 0.5000
Cl: 0.8336 0.8336 0.1665

The following is a DFT calculation (PBE-GGA) of Hg5Sb after structural relaxation.

Properties
E_form (uncorrected): 0.0500 eV/atom

Cell: 8.4497 8.4497 6.0427 Å, 90.00 90.00 157.65°
Fractional coordinates of all 6 atoms:
Hg: 0.0000 0.0000 0.0000
Hg: 0.3315 0.6685 0.5000
Hg: 0.3336 0.6664 0.0000
Hg: 0.6664 0.3336 0.0000
Hg: 0.6685 0.3315 0.5000
Sb: 0.0000 0.0000 0.5000

The following is a DFT calculation (PBE-GGA) of Tl2HgSbBr6 after structural relaxation.

Properties
E_form (uncorrected): -0.6181 eV/atom

Cell: 7.9076 8.0051 8.1765 Å, 91.24 117.64 119.42°
Fractional coordinates of all 10 atoms:
Tl: 0.0000 0.0000 0.0000
Tl: 0.0031 0.4966 0.5058
Hg: 0.5846 0.7941 0.3788
Sb: 0.5911 0.2968 0.8859
Br: 0.0667 0.4479 0.1326
Br: 0.1171 0.1420 0.6574
Br: 0.5165 0.0692 0.1355
Br: 0.5237 0.9808 0.6465
Br: 0.6761 0.6147 0.1405
Br: 0.6830 0.5436 0.6580

The following is a DFT calculation (PBE-GGA) of LaSeN2F after structural relaxation.

Properties
E_form (uncorrected): -0.4135 eV/atom

Cell: 4.0505 4.0505 4.2250 Å, 90.00 90.00 90.00°
Fractional coordinates of all 5 atoms:
La: 0.0000 0.0000 0.0000
Se: 0.5000 0.5000 0.5000
N: 0.0000 0.5000 0.5000
N: 0.5000 0.0000 0.5000
F: 0.5000 0.5000 0.0000

The following is a DFT calculation (PBE-GGA) of Li2In5Ga2 after structural relaxation.

Properties
Formation energy from the elements: -0.073 eV per atom

Cell: 8.5530 8.5530 8.5530 Å, 91.57 107.28 132.50°
Fractional coordinates of all 18 atoms:
Li: 0.0000 0.0000 0.0000
Li: 0.0000 0.5000 0.5000
Li: 0.5890 0.3947 0.6944
Li: 0.7003 0.8947 0.3056
In: 0.0016 0.2863 0.2153
In: 0.0710 0.7863 0.7847
In: 0.1438 0.0067 0.3721
In: 0.1438 0.2716 0.6371
In: 0.5007 0.0837 0.1878
In: 0.5007 0.8129 0.9171
In: 0.6345 0.5067 0.3629
In: 0.6345 0.7716 0.6279
In: 0.8958 0.3129 0.8122
In: 0.8958 0.5837 0.0829
Ga: 0.3252 0.4695 0.0672
Ga: 0.3252 0.7580 0.3557
Ga: 0.4023 0.2580 0.9328
Ga: 0.4023 0.9695 0.6443

The following is a DFT calculation (PBE-GGA) of BeTl5Cl8 after structural relaxation.

Properties
E_form (uncorrected): -1.0187 eV/atom

Cell: 8.8695 8.8695 8.8695 Å, 106.97 106.97 114.59°
Fractional coordinates of all 14 atoms:
Be: 0.0000 0.0000 0.0000
Tl: 0.1023 0.1242 0.4859
Tl: 0.2500 0.7500 0.5000
Tl: 0.3836 0.8977 0.0219
Tl: 0.6383 0.6164 0.5141
Tl: 0.8758 0.3617 0.9781
Cl: 0.2698 0.1701 0.2081
Cl: 0.3054 0.5579 0.6767
Cl: 0.3713 0.6946 0.2525
Cl: 0.4421 0.1188 0.7475
Cl: 0.8299 0.0381 0.0998
Cl: 0.8812 0.6287 0.3233
Cl: 0.9383 0.7302 0.9002
Cl: 0.9619 0.0617 0.7919

The following is a DFT calculation (PBE-GGA) of Ti8AlBi2 after structural relaxation.

Properties
Formation energy from the elements: -0.149 eV per atom

Cell: 8.1739 8.1739 7.0489 Å, 109.17 109.17 27.65°
Fractional coordinates of all 11 atoms:
Ti: 0.0394 0.0394 0.2609
Ti: 0.1302 0.1302 0.6888
Ti: 0.3319 0.3319 0.5775
Ti: 0.4235 0.4235 0.0587
Ti: 0.5765 0.5765 0.9413
Ti: 0.6681 0.6681 0.4225
Ti: 0.8698 0.8698 0.3112
Ti: 0.9606 0.9606 0.7391
Al: 0.5000 0.5000 0.5000
Bi: 0.2107 0.2107 0.1616
Bi: 0.7893 0.7893 0.8384

The following is a DFT calculation (PBE-GGA) of TaMnRe after structural relaxation.

Properties
Formation energy from the elements: 0.001 eV per atom

Cell: 5.8193 5.8193 5.8193 Å, 151.54 151.54 40.68°
Fractional coordinates of all 3 atoms:
Ta: 0.0000 0.0000 0.0000
Mn: 0.3256 0.3256 0.0000
Re: 0.6970 0.6970 0.0000

The following is a DFT calculation (PBE-GGA) of FeMoRh2 after structural relaxation.

Properties
Formation energy from the elements: -0.072 eV per atom

Cell: 4.7150 4.7150 4.7150 Å, 132.46 132.46 69.50°
Fractional coordinates of all 4 atoms:
Fe: 0.0000 0.0000 0.0000
Mo: 0.2500 0.7500 0.5000
Rh: 0.5000 0.5000 0.0000
Rh: 0.7500 0.2500 0.5000

The following is a DFT calculation (PBE-GGA) of Al2TcCl after structural relaxation.

Properties
E_form (uncorrected): 0.1136 eV/atom

Cell: 2.7981 4.6602 5.2934 Å, 90.00 90.00 90.00°
Fractional coordinates of all 4 atoms:
Al: 0.0000 0.0000 0.0000
Al: 0.5000 0.5000 0.4059
Tc: 0.5000 0.5000 0.9169
Cl: 0.0000 0.0000 0.4481

The following is a DFT calculation (PBE-GGA) of Ac4Sb2N2O after structural relaxation.

Properties
E_form (uncorrected): -1.4768 eV/atom

Cell: 7.5072 7.5072 7.9455 Å, 106.53 106.53 34.36°
Fractional coordinates of all 9 atoms:
Ac: 0.0111 0.0111 0.2909
Ac: 0.2946 0.2946 0.3469
Ac: 0.7054 0.7054 0.6531
Ac: 0.9889 0.9889 0.7091
Sb: 0.3913 0.3913 0.9549
Sb: 0.6087 0.6087 0.0451
N: 0.1657 0.1657 0.5054
N: 0.8343 0.8343 0.4946
O: 0.5000 0.5000 0.5000

The following is a DFT calculation (PBE-GGA) of YTi2ZnH after structural relaxation.

Properties
Electronic total energy: -4.322 eV per atom

Cell: 5.1904 5.1904 3.6316 Å, 90.00 90.00 90.00°
Fractional coordinates of all 5 atoms:
Y: 0.0000 0.0000 0.0000
Ti: 0.0000 0.5000 0.0000
Ti: 0.5000 0.0000 0.0000
Zn: 0.5000 0.5000 0.5000
H: 0.0000 0.0000 0.5000

The following is a DFT calculation (PBE-GGA) of HgP after structural relaxation.

Properties
Formation energy from the elements: 0.029 eV per atom

Cell: 3.3051 3.3057 10.5902 Å, 98.73 90.15 119.98°
Fractional coordinates of all 4 atoms:
Hg: 0.1188 0.2280 0.3521
Hg: 0.8812 0.7720 0.6479
P: 0.3136 0.6281 0.9410
P: 0.6864 0.3719 0.0590

The following is a DFT calculation (PBE-GGA) of U3MnTl3Se8 after structural relaxation.

Properties
E_form (uncorrected): -0.8421 eV/atom

Cell: 9.2135 9.2135 9.2135 Å, 52.52 52.52 52.52°
Fractional coordinates of all 15 atoms:
U: 0.0000 0.5000 0.5000
U: 0.5000 0.0000 0.5000
U: 0.5000 0.5000 0.0000
Mn: 0.0000 0.0000 0.0000
Tl: 0.0000 0.0000 0.5000
Tl: 0.0000 0.5000 0.0000
Tl: 0.5000 0.0000 0.0000
Se: 0.2272 0.2272 0.7417
Se: 0.2272 0.7417 0.2272
Se: 0.2583 0.7728 0.7728
Se: 0.2638 0.2638 0.2638
Se: 0.7362 0.7362 0.7362
Se: 0.7417 0.2272 0.2272
Se: 0.7728 0.2583 0.7728
Se: 0.7728 0.7728 0.2583

The following is a DFT calculation (PBE-GGA) of As2PbCl after structural relaxation.

Properties
E_form (uncorrected): 0.3809 eV/atom

Cell: 5.3903 5.3903 3.2627 Å, 90.00 90.00 90.00°
Fractional coordinates of all 4 atoms:
As: 0.0000 0.5000 0.0000
As: 0.5000 0.0000 0.0000
Pb: 0.0000 0.0000 0.5000
Cl: 0.5000 0.5000 0.5000

The following is a DFT calculation (PBE-GGA) of Dy4CdInHg2 after structural relaxation.

Properties
Formation energy from the elements: -0.426 eV per atom

Cell: 9.1882 9.1882 9.1882 Å, 33.41 33.41 33.41°
Fractional coordinates of all 8 atoms:
Dy: 0.1249 0.1249 0.1249
Dy: 0.3752 0.3752 0.3752
Dy: 0.6248 0.6248 0.6248
Dy: 0.8751 0.8751 0.8751
Cd: 0.5000 0.5000 0.5000
In: 0.0000 0.0000 0.0000
Hg: 0.2466 0.2466 0.2466
Hg: 0.7534 0.7534 0.7534

The following is a DFT calculation (PBE-GGA) of PuHfTh2 after structural relaxation.

Properties
Formation energy from the elements: 0.326 eV per atom

Cell: 11.8820 11.8820 11.8820 Å, 16.26 16.26 16.26°
Fractional coordinates of all 4 atoms:
Pu: 0.0000 0.0000 0.0000
Hf: 0.5000 0.5000 0.5000
Th: 0.0883 0.0883 0.0883
Th: 0.9117 0.9117 0.9117

The following is a DFT calculation (PBE-GGA) of CsSb after structural relaxation.

Properties
E_form (uncorrected): -0.4628 eV/atom

Cell: 15.6228 7.5101 14.5593 Å, 90.00 112.96 90.00°
Fractional coordinates of all 32 atoms:
Cs: 0.1150 0.1822 0.4704
Cs: 0.1150 0.3178 0.9704
Cs: 0.1523 0.5896 0.6767
Cs: 0.1523 0.9104 0.1767
Cs: 0.3606 0.1048 0.8420
Cs: 0.3606 0.3952 0.3420
Cs: 0.3651 0.6569 0.0367
Cs: 0.3651 0.8431 0.5367
Cs: 0.6349 0.1569 0.4633
Cs: 0.6349 0.3431 0.9633
Cs: 0.6394 0.6048 0.6580
Cs: 0.6394 0.8952 0.1580
Cs: 0.8477 0.0896 0.8233
Cs: 0.8477 0.4104 0.3233
Cs: 0.8850 0.6822 0.0296
Cs: 0.8850 0.8178 0.5296
Sb: 0.0715 0.6859 0.3663
Sb: 0.0715 0.8141 0.8663
Sb: 0.0863 0.0790 0.7259
Sb: 0.0863 0.4210 0.2259
Sb: 0.4172 0.1528 0.1402
Sb: 0.4172 0.3472 0.6402
Sb: 0.4241 0.6085 0.7911
Sb: 0.4241 0.8915 0.2911
Sb: 0.5759 0.1085 0.7089
Sb: 0.5759 0.3915 0.2089
Sb: 0.5828 0.6528 0.3598
Sb: 0.5828 0.8472 0.8598
Sb: 0.9137 0.5790 0.7741
Sb: 0.9137 0.9210 0.2741
Sb: 0.9285 0.1859 0.1337
Sb: 0.9285 0.3141 0.6337

The following is a DFT calculation (PBE-GGA) of AcZn6Cd2 after structural relaxation.

Properties
Formation energy from the elements: 0.018 eV per atom

Cell: 7.7527 7.7527 3.8024 Å, 90.00 90.00 120.00°
Fractional coordinates of all 9 atoms:
Ac: 0.0000 0.0000 0.0000
Zn: 0.0000 0.3416 0.5000
Zn: 0.0000 0.6584 0.5000
Zn: 0.3416 0.0000 0.5000
Zn: 0.3416 0.3416 0.5000
Zn: 0.6584 0.0000 0.5000
Zn: 0.6584 0.6584 0.5000
Cd: 0.3333 0.6667 0.0000
Cd: 0.6667 0.3333 0.0000